[1]
Below is YTh3Pb5 after structural relaxation, with properties calculated at the PBE level.

Lattice parameters (Å, degrees): 9.727 9.727 6.587 90.00 90.00 120.00
Sites, in units of the cell vectors:
Y: 0.000 0.000 0.000
Y: 0.000 0.000 0.500
Th: 0.000 0.384 0.250
Th: 0.000 0.616 0.750
Th: 0.384 0.000 0.250
Th: 0.384 0.384 0.750
Th: 0.616 0.000 0.750
Th: 0.616 0.616 0.250
Pb: 0.000 0.278 0.750
Pb: 0.000 0.722 0.250
Pb: 0.278 0.000 0.750
Pb: 0.278 0.278 0.250
Pb: 0.333 0.667 0.000
Pb: 0.333 0.667 0.500
Pb: 0.667 0.333 0.000
Pb: 0.667 0.333 0.500
Pb: 0.722 0.000 0.250
Pb: 0.722 0.722 0.750

Values from the calculation:
* calculated density: 11.20 g/cm³
* final energy: -0.206 hartree per atom
* volume: 29.987 Å³/atom

***

[2]
Below is Tl3Br7F after structural relaxation, with properties calculated at the PBE level.

Lattice parameters (Å, degrees): 8.159 8.159 9.991 126.90 126.90 58.88
Sites, in units of the cell vectors:
Tl: 0.000 0.000 0.000
Tl: 0.494 0.981 0.510
Tl: 0.981 0.494 0.510
Br: 0.040 0.040 0.349
Br: 0.057 0.535 0.832
Br: 0.422 0.422 0.644
Br: 0.478 0.927 0.207
Br: 0.535 0.057 0.832
Br: 0.547 0.547 0.366
Br: 0.927 0.478 0.207
F: 0.871 0.871 0.643

Values from the calculation:
* calculated density: 4.80 g/cm³
* final energy: -0.092 hartree per atom
* volume: 37.491 Å³/atom

***

[3]
Below is Cs3Ce3SnTe8 after structural relaxation, with properties calculated at the PBE level.

Lattice parameters (Å, degrees): 10.417 10.417 10.417 52.75 52.75 52.75
Sites, in units of the cell vectors:
Cs: 0.000 0.500 0.500
Cs: 0.500 0.000 0.500
Cs: 0.500 0.500 0.000
Ce: 0.000 0.000 0.500
Ce: 0.000 0.500 0.000
Ce: 0.500 0.000 0.000
Sn: 0.500 0.500 0.500
Te: 0.219 0.734 0.734
Te: 0.231 0.231 0.231
Te: 0.266 0.266 0.781
Te: 0.266 0.781 0.266
Te: 0.734 0.219 0.734
Te: 0.734 0.734 0.219
Te: 0.769 0.769 0.769
Te: 0.781 0.266 0.266

Values from the calculation:
* calculated density: 4.90 g/cm³
* final energy: -0.163 hartree per atom
* volume: 44.218 Å³/atom

***

[4]
Below is PrEr3Cd4 after structural relaxation, with properties calculated at the PBE level.

Lattice parameters (Å, degrees): 5.273 5.273 7.637 90.00 90.00 90.00
Sites, in units of the cell vectors:
Pr: 0.000 0.000 0.000
Er: 0.000 0.000 0.500
Er: 0.500 0.500 0.000
Er: 0.500 0.500 0.500
Cd: 0.000 0.500 0.262
Cd: 0.000 0.500 0.738
Cd: 0.500 0.000 0.262
Cd: 0.500 0.000 0.738

Values from the calculation:
* calculated density: 8.54 g/cm³
* final energy: -0.113 hartree per atom
* volume: 26.545 Å³/atom

***

[5]
Below is MgPSe2 after structural relaxation, with properties calculated at the PBE level.

Lattice parameters (Å, degrees): 4.321 4.874 4.501 90.00 103.83 90.00
Sites, in units of the cell vectors:
Mg: 0.000 0.000 0.000
P: 0.226 0.500 0.628
Se: 0.393 0.000 0.608
Se: 0.849 0.500 0.187

Values from the calculation:
* calculated density: 3.85 g/cm³
* distance to the lowest polymorph of the same formula: 35.4 meV per atom
* volume: 23.015 Å³/atom

***

[6]
Below is AlTlPb2 after structural relaxation, with properties calculated at the PBE level.

Lattice parameters (Å, degrees): 3.505 4.493 7.166 90.00 90.00 90.00
Sites, in units of the cell vectors:
Al: 0.000 0.000 0.000
Tl: 0.500 0.500 0.770
Pb: 0.000 0.000 0.499
Pb: 0.500 0.500 0.225

Values from the calculation:
* calculated density: 9.50 g/cm³
* distance to the lowest polymorph of the same formula: 53.4 meV per atom
* volume: 28.214 Å³/atom